Entry from Alexandria: V2O3F3 after structural relaxation (PBE with a Hubbard U).

abc: 5.292 5.376 12.986
angles: 89.05 89.39 60.66
Sites, in units of the cell vectors:
V: 0.000 0.000 0.000
V: 0.017 0.927 0.487
V: 0.303 0.322 0.656
V: 0.339 0.300 0.159
V: 0.628 0.687 0.818
V: 0.713 0.597 0.327
O: 0.071 0.444 0.248
O: 0.173 0.099 0.084
O: 0.232 0.658 0.568
O: 0.382 0.779 0.912
O: 0.470 0.954 0.731
O: 0.665 0.137 0.050
O: 0.797 0.309 0.399
O: 0.844 0.786 0.423
O: 0.990 0.477 0.719
F: 0.136 0.619 0.057
F: 0.203 0.166 0.540
F: 0.306 0.837 0.380
F: 0.522 0.428 0.755
F: 0.545 0.498 0.208
F: 0.594 0.962 0.237
F: 0.722 0.134 0.584
F: 0.868 0.811 0.880
F: 0.912 0.289 0.901

Results
Spin magnetization = 3.0 μB/cell
E_tot = -0.24459 Ha/atom
Space group = P1, No. 1